(1)
8
Lattice="4.7110 0.0000 0.0000 0.0000 4.7110 0.0000 2.3555 2.3555 4.6322" Properties=species:S:1:pos:R:3 comment="PBE IrPdC2, optimized geometry" e_above_lowest_polymorph_ev_per_atom=0.000 sg="I-42d, No. 122" total_energy_ev_per_atom=-7.33 pbc="T T T"
C 1.0681 3.5332 1.1581
C 5.8887 5.9984 3.4742
C 3.6429 1.1777 1.1581
C 3.5332 3.4235 3.4742
Ir 4.7110 2.3555 2.3161
Ir 0.0000 0.0000 0.0000
Pd 2.3555 2.3555 0.0000
Pd 2.3555 4.7110 2.3161

=====

(2)
14
Lattice="-5.6215 0.8625 1.0762 -1.5814 -4.9870 -4.2636 3.5107 -7.8933 7.9304" Properties=species:S:1:pos:R:3 comment="PBE Sm2Y4Tl, optimized geometry" sg="P2_1/m, No. 11" total_energy_ev_per_atom=-5.40 pbc="T T T"
Y -2.5161 -1.7759 2.9187
Y -3.2796 -4.1837 0.8601
Y -0.5475 -6.9934 0.3705
Y -3.6070 -9.7568 4.7375
Y -3.1447 -5.0244 4.3724
Y -0.4126 -7.8341 3.8829
Y -0.0852 -2.2610 0.0054
Y -1.1761 -10.2419 1.8243
Sm 0.5425 -8.5579 7.1378
Sm -0.3308 -4.4134 2.6140
Sm -4.2347 -3.4599 -2.3949
Sm -3.3614 -7.6044 2.1289
Tl -1.3196 -4.8850 -1.8091
Tl -2.3725 -7.1328 6.5521

=====

(3)
10
Lattice="6.9848 0.0000 0.0000 0.0000 6.9848 0.0000 0.0000 0.0000 2.7021" Properties=species:S:1:pos:R:3 comment="PBE Al2Fe2W, optimized geometry" e_above_lowest_polymorph_ev_per_atom=0.107 sg="P4/mbm, No. 127" total_energy_ev_per_atom=-7.47 pbc="T T T"
Al 4.4177 0.9253 0.0000
Al 6.0595 4.4177 0.0000
Al 0.9253 2.5671 0.0000
Al 2.5671 6.0595 0.0000
W 0.0000 0.0000 0.0000
W 3.4924 3.4924 0.0000
Fe 2.3424 1.1500 1.3511
Fe 5.8348 2.3424 1.3511
Fe 1.1500 4.6424 1.3511
Fe 4.6424 5.8348 1.3511

=====

(4)
10
Lattice="-5.8948 -0.4187 1.0648 -0.3992 -3.1953 -3.4658 0.8338 -3.5816 3.2060" Properties=species:S:1:pos:R:3 comment="PBE V3TcP, optimized geometry" e_above_lowest_polymorph_ev_per_atom=0.000 sg="Pmn2_1, No. 31" total_energy_ev_per_atom=-8.83 pbc="T T T"
V -1.8112 -2.3397 -0.6525
V -4.8324 -4.9392 2.7976
V -2.1397 -6.7630 0.0582
V -4.5079 -5.6754 0.0341
V -5.2499 -3.1475 1.1939
V -2.5560 -4.9731 -1.5439
Tc -2.7609 -4.1720 1.2598
Tc -0.4120 -3.6200 -2.4462
P -0.7295 -4.7535 0.0825
P -4.0923 -3.1566 -0.9712